Record 1
PrEr5Sc2 (PBE, optimized geometry); energy = -4.999 eV/atom; calculated density = 7.48 g/cm3
1.0
11.217 0.000 0.000
0.000 12.073 0.000
0.000 0.000 7.000
Pr Er Sc
4 20 8
Cartesian
2.769 0.953 0.000
2.840 6.989 0.000
8.378 5.084 0.000
8.448 11.120 0.000
11.217 2.988 0.000
0.000 6.036 1.786
0.000 6.036 5.214
0.000 9.085 0.000
0.007 2.974 3.500
2.794 10.051 1.788
2.794 10.051 5.212
2.814 4.015 1.788
2.814 4.015 5.212
5.602 9.010 3.500
5.609 0.000 1.786
5.609 0.000 5.214
5.609 3.048 0.000
5.609 9.025 0.000
5.616 3.063 3.500
8.403 8.058 1.788
8.403 8.058 5.212
8.423 2.022 1.788
8.423 2.022 5.212
11.210 9.099 3.500
0.000 0.000 1.806
0.000 0.000 5.194
2.764 1.001 3.500
2.845 7.038 3.500
5.609 6.036 1.806
5.609 6.036 5.194
8.373 5.035 3.500
8.453 11.072 3.500

=====

Record 2
In2TcSb (PBE, optimized geometry); raw formation energy = 2.0 eV per formula unit; calculated density = 8.84 g/cm3
1.0
-2.134 2.134 4.630
2.134 -2.134 4.630
2.134 2.134 -4.630
In Tc Sb
2 1 1
Cartesian
2.134 0.000 2.315
0.000 2.134 2.315
0.000 0.000 0.000
0.000 0.000 4.630

=====

Record 3
TiNb2Ga (PBE, optimized geometry); energy = -7.948 eV/atom; calculated density = 7.39 g/cm3
1.0
3.410 0.000 0.000
0.000 3.410 0.000
0.000 0.000 5.862
Ti Nb Ga
1 2 1
Cartesian
0.000 0.000 0.000
1.705 1.705 1.521
1.705 1.705 4.340
0.000 0.000 2.931

=====

Record 4
ScMo3 (PBE, optimized geometry); energy = -9.440 eV/atom; calculated density = 8.12 g/cm3
1.0
4.689 -1.350 0.000
4.689 1.350 0.000
-0.204 0.000 5.377
Sc Mo
1 3
Cartesian
0.000 0.000 0.000
2.326 0.000 1.349
4.587 0.000 2.689
6.848 0.000 4.028

=====

Record 5
LiMn2TeP (PBE, optimized geometry); raw formation energy = 6.4 eV per formula unit; calculated density = 4.37 g/cm3
1.0
4.714 0.000 0.000
0.000 4.714 0.000
0.000 0.000 4.705
Li Mn Te P
1 2 1 1
Cartesian
0.000 0.000 0.000
0.000 2.357 2.352
2.357 0.000 2.352
0.000 0.000 2.352
2.357 2.357 0.000

=====

Record 6
Cs2NiH (PBE, optimized geometry); energy = -2.132 eV/atom; calculated density = 2.99 g/cm3
1.0
-4.328 4.328 4.831
4.328 -4.328 4.831
4.328 4.328 -4.831
Cs Ni H
4 2 2
Cartesian
6.492 1.606 -1.208
1.606 2.164 1.208
-2.164 2.722 3.623
2.722 2.164 6.038
4.328 0.000 2.415
0.000 0.000 4.831
0.000 0.000 0.000
0.000 4.328 2.415